No. 1
This record from Alexandria via LeMat-Bulk describes a geometry-optimized TaMnTe3 structure. The functional is PBE-GGA.

Unit cell a=3.7718 b=7.6658 c=11.9623 alpha=127.01 beta=90.00 gamma=90.00
Each line ends with the local moment (μB).
Fractional coordinates of all 10 atoms:
Te (0.2500, 0.9551, 0.3292)  -0.03
Te (0.2500, 0.6287, 0.6717)  -0.04
Te (0.7500, 0.7239, 0.9955)  -0.01
Te (0.7500, 0.0449, 0.6708)  -0.03
Te (0.7500, 0.3713, 0.3283)  -0.04
Te (0.2500, 0.2761, 0.0045)  -0.01
Ta (0.7500, 0.9362, 0.8738)  0.04
Ta (0.2500, 0.0638, 0.1262)  0.04
Mn (0.2500, 0.2381, 0.6192)  4.01
Mn (0.7500, 0.7619, 0.3808)  4.01

Results
- magnetization (Bohr magnetons per cell) = 8.82
- symmetry = P2_1/m
- uncorrected formation energy (eV per formula unit) = -0.7
- uncorrected energy (eV per atom) = -6.239

No. 2
This record from Alexandria via LeMat-Bulk describes a geometry-optimized Tl12Hg5Pb2 structure. The functional is PBE-GGA.

Unit cell a=8.8038 b=8.3871 c=9.0948 alpha=89.71 beta=118.95 gamma=90.00
Fractional coordinates of all 19 atoms:
Tl (0.5516, 0.7235, 0.1031)
Tl (0.0205, 0.2307, 0.6403)
Tl (0.1691, 0.6316, 0.7891)
Tl (0.6200, 0.6316, 0.7891)
Tl (0.6198, 0.2307, 0.6403)
Tl (0.3800, 0.3684, 0.2109)
Tl (0.4484, 0.2765, 0.8969)
Tl (0.3802, 0.7693, 0.3597)
Tl (0.8309, 0.3684, 0.2109)
Tl (0.9795, 0.7693, 0.3597)
Tl (0.1747, 0.1206, 0.3493)
Tl (0.8253, 0.8794, 0.6507)
Hg (0.0000, 0.5000, 0.0000)
Hg (0.6463, 0.0612, 0.2925)
Hg (0.2538, 0.4704, 0.5077)
Hg (0.3537, 0.9388, 0.7075)
Hg (0.7462, 0.5296, 0.4923)
Pb (0.1934, 0.0000, 0.0000)
Pb (0.8066, 0.0000, 0.0000)

Results
- magnetization (Bohr magnetons per cell) = 0.00
- symmetry = C2/m
- energy of formation from the pure elements (eV per atom) = 0.04
- uncorrected energy (eV per atom) = -1.929

No. 3
This record from Alexandria via LeMat-Bulk describes a geometry-optimized MnPPt2 structure. The functional is PBE-GGA.

Unit cell a=3.7568 b=3.7568 c=9.0019 alpha=77.96 beta=77.96 gamma=90.00
Each line ends with the local moment (μB).
Fractional coordinates of all 8 atoms:
Mn (0.7500, 0.2500, 0.5000)  0.26
Mn (0.0000, 0.0000, 0.0000)  0.23
Pt (0.6231, 0.1250, 0.2500)  0.00
Pt (0.3750, 0.3769, 0.7500)  0.03
Pt (0.8750, 0.8731, 0.7500)  0.04
Pt (0.1269, 0.6250, 0.2500)  0.00
P (0.2500, 0.7500, 0.5000)  -0.03
P (0.5000, 0.5000, 0.0000)  -0.03

Results
- magnetization (Bohr magnetons per cell) = 0.49
- symmetry = I-42d
- energy of formation from the pure elements (eV per atom) = 0.22
- uncorrected energy (eV per atom) = -6.447

No. 4
This record from Alexandria via LeMat-Bulk describes a geometry-optimized Ta2PIr structure. The functional is PBE-GGA.

Unit cell a=4.7048 b=4.7048 c=2.8698 alpha=90.00 beta=90.00 gamma=90.00
Fractional coordinates of all 4 atoms:
Ta (0.5000, 0.0000, 0.0000)
Ta (0.0000, 0.5000, 0.0000)
Ir (0.5000, 0.5000, 0.5000)
P (0.0000, 0.0000, 0.5000)

Results
- magnetization (Bohr magnetons per cell) = 0.00
- symmetry = P4/mmm
- energy of formation from the pure elements (eV per atom) = -0.29
- uncorrected energy (eV per atom) = -9.780

No. 5
This record from Alexandria via LeMat-Bulk describes a geometry-optimized AlOs2Ru2 structure. The functional is PBE-GGA.

Unit cell a=3.7919 b=3.7919 c=6.3350 alpha=72.59 beta=72.59 gamma=90.00
Fractional coordinates of all 5 atoms:
Al (0.0000, 0.0000, 0.0000)
Ru (0.7500, 0.2500, 0.5000)
Ru (0.2500, 0.7500, 0.5000)
Os (0.6026, 0.6026, 0.7947)
Os (0.3974, 0.3974, 0.2053)

Results
- magnetization (Bohr magnetons per cell) = 0.00
- symmetry = I4/mmm
- energy of formation from the pure elements (eV per atom) = 0.47
- uncorrected energy (eV per atom) = -8.478

No. 6
This record from Alexandria via LeMat-Bulk describes a geometry-optimized KPu4Te6 structure. The functional is PBE-GGA.

Unit cell a=4.4820 b=7.7251 c=23.4220 alpha=90.00 beta=90.00 gamma=106.86
Each line ends with the local moment (μB).
Fractional coordinates of all 22 atoms:
Te (0.2282, 0.4564, 0.9184)  0.03
Te (0.9577, 0.9153, 0.8420)  -0.04
Te (0.3477, 0.6953, 0.2500)  -0.15
Te (0.0423, 0.0847, 0.3420)  -0.04
Te (0.7718, 0.5436, 0.0816)  0.03
Te (0.5000, 0.0000, 0.0000)  0.04
Te (0.9577, 0.9153, 0.6580)  -0.04
Te (0.7718, 0.5436, 0.4184)  0.03
Te (0.5000, 0.0000, 0.5000)  0.04
Te (0.2282, 0.4564, 0.5816)  0.03
Te (0.6523, 0.3047, 0.7500)  -0.15
Te (0.0423, 0.0847, 0.1580)  -0.04
Pu (0.5912, 0.1825, 0.6285)  5.25
Pu (0.5912, 0.1825, 0.8715)  5.25
Pu (0.8628, 0.7257, 0.9591)  -5.36
Pu (0.4088, 0.8175, 0.1285)  5.25
Pu (0.1372, 0.2743, 0.4591)  -5.36
Pu (0.4088, 0.8175, 0.3715)  5.25
Pu (0.8628, 0.7257, 0.5409)  -5.36
Pu (0.1372, 0.2743, 0.0409)  -5.36
K (0.6647, 0.3294, 0.2500)  0.00
K (0.3353, 0.6706, 0.7500)  0.00

Results
- magnetization (Bohr magnetons per cell) = 1.26
- symmetry = Cmcm
- uncorrected formation energy (eV per formula unit) = -11.0
- uncorrected energy (eV per atom) = -8.021

No. 7
This record from Alexandria via LeMat-Bulk describes a geometry-optimized Ba4Te2As structure. The functional is PBE-GGA.

Unit cell a=10.1139 b=10.1139 c=14.0871 alpha=90.00 beta=90.00 gamma=90.00
Fractional coordinates of all 28 atoms:
Te (0.7556, 0.2444, 0.6250)
Te (0.5000, 0.7478, 0.5000)
Te (0.2444, 0.7556, 0.1250)
Te (0.7556, 0.7556, 0.8750)
Te (0.7478, 0.5000, 0.2500)
Te (0.2522, 0.5000, 0.7500)
Te (0.5000, 0.2522, 0.0000)
Te (0.2444, 0.2444, 0.3750)
Ba (0.5274, 0.2358, 0.2466)
Ba (0.7627, 0.0268, 0.0174)
Ba (0.2358, 0.4726, 0.9966)
Ba (0.2373, 0.9732, 0.5174)
Ba (0.7642, 0.5274, 0.4966)
Ba (0.7627, 0.9732, 0.4826)
Ba (0.0268, 0.7627, 0.7326)
Ba (0.9732, 0.2373, 0.2326)
Ba (0.4726, 0.7642, 0.7466)
Ba (0.2373, 0.0268, 0.9826)
Ba (0.2358, 0.5274, 0.5034)
Ba (0.9732, 0.7627, 0.2674)
Ba (0.7642, 0.4726, 0.0034)
Ba (0.5274, 0.7642, 0.2534)
Ba (0.0268, 0.2373, 0.7674)
Ba (0.4726, 0.2358, 0.7534)
As (0.2515, 0.0000, 0.7500)
As (0.0000, 0.2515, 0.0000)
As (0.7485, 0.0000, 0.2500)
As (0.0000, 0.7485, 0.5000)

Results
- magnetization (Bohr magnetons per cell) = 0.00
- symmetry = P4_122
- uncorrected formation energy (eV per formula unit) = -9.1
- uncorrected energy (eV per atom) = -3.961

No. 8
This record from Alexandria via LeMat-Bulk describes a geometry-optimized CoReOs2 structure. The functional is PBE-GGA.

Unit cell a=2.7745 b=4.5074 c=4.4864 alpha=90.00 beta=90.00 gamma=90.00
Each line ends with the local moment (μB).
Fractional coordinates of all 4 atoms:
Co (0.0000, 0.5000, 0.5000)  1.19
Os (0.5000, 0.5000, 0.0000)  0.11
Os (0.0000, 0.0000, 0.0000)  0.10
Re (0.5000, 0.0000, 0.5000)  0.04

Results
- magnetization (Bohr magnetons per cell) = 1.44
- symmetry = Pmmm
- energy of formation from the pure elements (eV per atom) = 0.49
- uncorrected energy (eV per atom) = -10.009

No. 9
This record from Alexandria via LeMat-Bulk describes a geometry-optimized CeAl8Si2W structure. The functional is PBE-GGA.

Unit cell a=4.7192 b=4.7192 c=11.0569 alpha=90.34 beta=90.34 gamma=64.86
Each line ends with the local moment (μB).
Fractional coordinates of all 12 atoms:
Al (0.3318, 0.3318, 0.0276)  0.00
Al (0.7917, 0.2854, 0.2021)  0.00
Al (0.2854, 0.7917, 0.2021)  0.00
Al (0.2083, 0.7146, 0.7979)  0.00
Al (0.3253, 0.3253, 0.3518)  0.01
Al (0.6682, 0.6682, 0.9724)  0.00
Al (0.7146, 0.2083, 0.7979)  0.00
Al (0.6747, 0.6747, 0.6482)  0.01
Ce (0.0000, 0.0000, 0.5000)  0.49
W (0.0000, 0.0000, 0.0000)  0.02
Si (0.6696, 0.6696, 0.3734)  0.00
Si (0.3304, 0.3304, 0.6266)  0.00

Results
- magnetization (Bohr magnetons per cell) = 0.74
- symmetry = C2/m
- uncorrected formation energy (eV per formula unit) = 0.2
- uncorrected energy (eV per atom) = -4.952

No. 10
This record from Alexandria via LeMat-Bulk describes a geometry-optimized CaCr2Tc structure. The functional is PBE-GGA.

Unit cell a=4.8194 b=4.8194 c=5.3955 alpha=75.85 beta=75.85 gamma=37.33
Fractional coordinates of all 4 atoms:
Cr (0.9625, 0.9625, 0.1276)
Cr (0.5375, 0.5375, 0.3724)
Tc (0.2500, 0.2500, 0.2500)
Ca (0.7500, 0.7500, 0.7500)

Results
- magnetization (Bohr magnetons per cell) = 0.00
- symmetry = C2/m
- energy of formation from the pure elements (eV per atom) = 0.57
- uncorrected energy (eV per atom) = -7.333

No. 11
This record from Alexandria via LeMat-Bulk describes a geometry-optimized BaSbPt3 structure. The functional is PBE-GGA.

Unit cell a=5.3398 b=5.3398 c=5.3398 alpha=90.00 beta=90.00 gamma=90.00
Fractional coordinates of all 5 atoms:
Sb (0.5000, 0.5000, 0.5000)
Pt (0.0000, 0.5000, 0.0000)
Pt (0.0000, 0.0000, 0.5000)
Pt (0.5000, 0.0000, 0.0000)
Ba (0.0000, 0.0000, 0.0000)

Results
- magnetization (Bohr magnetons per cell) = 0.00
- symmetry = Pm-3m
- uncorrected formation energy (eV per formula unit) = 7.6
- uncorrected energy (eV per atom) = -3.320

No. 12
This record from Alexandria via LeMat-Bulk describes a geometry-optimized Pu2Si3 structure. The functional is PBE-GGA.

Unit cell a=4.0078 b=3.9655 c=12.5635 alpha=90.00 beta=99.18 gamma=90.00
Each line ends with the local moment (μB).
Fractional coordinates of all 10 atoms:
Pu (0.4299, 0.2500, 0.8599)  5.09
Pu (0.7069, 0.2500, 0.4138)  -5.33
Pu (0.2931, 0.7500, 0.5862)  -5.33
Pu (0.5701, 0.7500, 0.1401)  5.09
Si (0.1702, 0.7500, 0.3404)  0.04
Si (0.9758, 0.7500, 0.9517)  -0.03
Si (0.8821, 0.7500, 0.7642)  -0.01
Si (0.0242, 0.2500, 0.0483)  -0.03
Si (0.8298, 0.2500, 0.6596)  0.04
Si (0.1179, 0.2500, 0.2358)  -0.01

Results
- magnetization (Bohr magnetons per cell) = 0.79
- symmetry = Cmcm
- uncorrected formation energy (eV per formula unit) = -2.3
- uncorrected energy (eV per atom) = -9.450

No. 13
This record from Alexandria via LeMat-Bulk describes a geometry-optimized KMo2Ru structure. The functional is PBE-GGA.

Unit cell a=3.4246 b=3.4246 c=8.1224 alpha=90.00 beta=90.00 gamma=90.00
Fractional coordinates of all 4 atoms:
Mo (0.0000, 0.0000, 0.1125)
Mo (0.0000, 0.0000, 0.3875)
K (0.5000, 0.5000, 0.7500)
Ru (0.5000, 0.5000, 0.2500)

Results
- magnetization (Bohr magnetons per cell) = 0.00
- symmetry = P4/mmm
- energy of formation from the pure elements (eV per atom) = 0.87
- uncorrected energy (eV per atom) = -7.135

No. 14
This record from Alexandria via LeMat-Bulk describes a geometry-optimized TaSnF3 structure. The functional is PBE-GGA.

Unit cell a=4.6284 b=4.6284 c=4.6284 alpha=90.00 beta=90.00 gamma=90.00
Each line ends with the local moment (μB).
Fractional coordinates of all 5 atoms:
Ta (0.5000, 0.5000, 0.5000)  2.47
Sn (0.0000, 0.0000, 0.0000)  0.01
F (0.0000, 0.0000, 0.5000)  0.05
F (0.0000, 0.5000, 0.0000)  0.05
F (0.5000, 0.0000, 0.0000)  0.03

Results
- magnetization (Bohr magnetons per cell) = 4.03
- symmetry = Pm-3m
- uncorrected formation energy (eV per formula unit) = -2.5
- uncorrected energy (eV per atom) = -4.793

No. 15
This record from Alexandria via LeMat-Bulk describes a geometry-optimized KU2CrS8 structure. The functional is PBE-GGA.

Unit cell a=6.1823 b=5.7870 c=8.2279 alpha=89.97 beta=89.98 gamma=87.27
Each line ends with the local moment (μB).
Fractional coordinates of all 12 atoms:
S (0.8278, 0.2429, 0.8049)  -0.09
S (0.8275, 0.2426, 0.1950)  -0.09
S (0.1725, 0.7574, 0.8050)  -0.09
S (0.6095, 0.7280, 0.4999)  -0.04
S (0.6653, 0.7409, 0.0000)  -0.11
S (0.1722, 0.7571, 0.1951)  -0.09
S (0.3905, 0.2720, 0.5001)  -0.04
S (0.3347, 0.2591, 0.0000)  -0.11
U (0.5000, 0.5000, 0.7554)  0.47
U (0.5000, 0.5000, 0.2446)  0.47
Cr (0.0000, 0.0000, 0.0000)  2.63
K (0.0000, 0.0000, 0.5000)  0.00

Results
- magnetization (Bohr magnetons per cell) = 3.00
- symmetry = P2/m
- uncorrected formation energy (eV per formula unit) = -10.5
- uncorrected energy (eV per atom) = -6.402

No. 16
This record from Alexandria via LeMat-Bulk describes a geometry-optimized SmBePd2 structure. The functional is PBE-GGA.

Unit cell a=3.9758 b=4.1423 c=8.9004 alpha=103.46 beta=90.00 gamma=90.00
Fractional coordinates of all 8 atoms:
Pd (0.5000, 0.6991, 0.3982)
Pd (0.0000, 0.5000, 0.0000)
Pd (0.5000, 0.0000, 0.0000)
Pd (0.5000, 0.3009, 0.6018)
Sm (0.0000, 0.1446, 0.2892)
Sm (0.0000, 0.8554, 0.7108)
Be (0.5000, 0.4314, 0.8628)
Be (0.5000, 0.5686, 0.1372)

Results
- magnetization (Bohr magnetons per cell) = 0.00
- symmetry = Cmmm
- energy of formation from the pure elements (eV per atom) = -0.71
- uncorrected energy (eV per atom) = -5.417

No. 17
This record from Alexandria via LeMat-Bulk describes a geometry-optimized Sr2HgRhI structure. The functional is PBE-GGA.

Unit cell a=5.7725 b=5.7725 c=5.2597 alpha=90.00 beta=90.00 gamma=90.00
Fractional coordinates of all 5 atoms:
Hg (0.0000, 0.0000, 0.5000)
Sr (0.5000, 0.0000, 0.0000)
Sr (0.0000, 0.5000, 0.0000)
Rh (0.0000, 0.0000, 0.0000)
I (0.5000, 0.5000, 0.5000)

Results
- magnetization (Bohr magnetons per cell) = 0.00
- symmetry = P4/mmm
- uncorrected formation energy (eV per formula unit) = -2.9
- uncorrected energy (eV per atom) = -3.100

No. 18
This record from Alexandria via LeMat-Bulk describes a geometry-optimized BiTeMo2 structure. The functional is PBE-GGA.

Unit cell a=6.2923 b=6.2923 c=7.6434 alpha=65.69 beta=65.69 gamma=90.00
Each line ends with the local moment (μB).
Fractional coordinates of all 8 atoms:
Bi (0.7500, 0.2500, 0.5000)  -0.10
Bi (0.0000, 0.0000, 0.0000)  -0.10
Te (0.2500, 0.7500, 0.5000)  -0.07
Te (0.5000, 0.5000, 0.0000)  -0.07
Mo (0.8750, 0.8606, 0.7500)  1.81
Mo (0.1394, 0.6250, 0.2500)  1.79
Mo (0.6106, 0.1250, 0.2500)  1.80
Mo (0.3750, 0.3894, 0.7500)  1.77

Results
- magnetization (Bohr magnetons per cell) = 7.94
- symmetry = I-42d
- uncorrected formation energy (eV per formula unit) = 4.8
- uncorrected energy (eV per atom) = -5.980

No. 19
This record from Alexandria via LeMat-Bulk describes a geometry-optimized DyZr2Ge2 structure. The functional is PBE-GGA.

Unit cell a=7.0932 b=7.0932 c=5.6759 alpha=109.83 beta=109.83 gamma=98.59
Each line ends with the local moment (μB).
Fractional coordinates of all 10 atoms:
Dy (0.8891, 0.6109, 0.7500)  0.01
Dy (0.1109, 0.3891, 0.2500)  0.01
Ge (0.1735, 0.3265, 0.7500)  -0.01
Ge (0.6201, 0.8799, 0.7500)  -0.01
Ge (0.8265, 0.6735, 0.2500)  -0.01
Ge (0.3799, 0.1201, 0.2500)  -0.01
Zr (0.2259, 0.9302, 0.5170)  0.21
Zr (0.5698, 0.2741, 0.9830)  0.21
Zr (0.4302, 0.7259, 0.0170)  0.21
Zr (0.7741, 0.0698, 0.4830)  0.21

Results
- magnetization (Bohr magnetons per cell) = 1.25
- symmetry = C2/c
- energy of formation from the pure elements (eV per atom) = -0.40
- uncorrected energy (eV per atom) = -6.588

No. 20
This record from Alexandria via LeMat-Bulk describes a geometry-optimized Np2UPdSe4 structure. The functional is PBE-GGA.

Unit cell a=6.9859 b=6.0771 c=6.0771 alpha=70.71 beta=54.92 gamma=54.92
Each line ends with the local moment (μB).
Fractional coordinates of all 8 atoms:
Se (0.4985, 0.5755, 0.0000)  -0.09
Se (0.5015, 0.0000, 0.4245)  -0.09
Se (0.9260, 0.0000, 0.5755)  -0.09
Se (0.0740, 0.4245, 0.0000)  -0.09
Pd (0.5000, 0.0000, 0.0000)  -0.15
Np (0.5000, 0.5000, 0.5000)  4.18
Np (0.0000, 0.5000, 0.5000)  4.18
U (0.0000, 0.0000, 0.0000)  2.77

Results
- magnetization (Bohr magnetons per cell) = 11.70
- symmetry = I-42m
- uncorrected formation energy (eV per formula unit) = -7.2
- uncorrected energy (eV per atom) = -7.936